Version P
VASP calculation (GGA-PBE) on crystalline FeBP2Au at its relaxed geometry.

N(E_F), states/eV per atom: 0.31
SG: P3m1 (156)
Total magnetic moment, μB/cell: 1.153

a b c (Å): 3.1576 3.1576 8.0338
angles (deg): 90.00 90.00 120.00
With the nearest neighbours (Å) after each atom.
Sites, in units of the cell vectors:
Fe1 0.0000 0.0000 0.0000  4 P 2.19-2.36
B1 0.6667 0.3333 0.2177  3 P 1.92
P1 0.0000 0.0000 0.2934  3 B 1.92
P2 0.3333 0.6667 0.8485  3 Fe 2.19
Au1 0.0000 0.0000 0.6071  4 P 2.52-2.66

Version Q
VASP calculation (GGA-PBE) on crystalline FeBP2Au at its relaxed geometry.

N(E_F), states/eV per atom: 0.44
SG: P1 (1)
Total magnetic moment, μB/cell: 0.383

a b c (Å): 3.2403 4.1447 5.7671
angles (deg): 74.35 75.56 67.00
With the nearest neighbours (Å) after each atom.
Sites, in units of the cell vectors:
Fe1 0.0000 0.0000 0.0000  3 P 2.16-2.27, 1 B 2.31
B1 0.2088 0.0876 0.5809  2 P 1.95
P1 0.6539 0.6201 0.0804  2 Fe 2.16, 1 P 2.31
P2 0.7837 0.1149 0.3840  2 B 1.95
Au1 0.3337 0.5034 0.7244  2 B 2.24-2.30

Version R
VASP calculation (GGA-PBE) on crystalline FeBP2Au at its relaxed geometry.

N(E_F), states/eV per atom: 0.55
SG: Cm (8)
Total magnetic moment, μB/cell: 0.434

a b c (Å): 3.8425 3.8425 7.5161
angles (deg): 103.46 103.46 47.46
With the nearest neighbours (Å) after each atom.
Sites, in units of the cell vectors:
Fe1 0.0000 0.0000 0.0000  3 B 2.03-2.15, 2 P 2.18
B1 0.7077 0.7077 0.9842  3 P 1.94-2.01, 3 Fe 2.03-2.15
P1 0.3288 0.3288 0.1453  2 B 2.01
P2 0.4652 0.4652 0.7896  1 B 1.94
Au1 0.4009 0.4009 0.4691  2 P 2.33-2.36

The data favor version R; the next most stable structure lies 31 meV per atom above it.

Version P
VASP calculation (GGA-PBE) on crystalline FeBP2Au at its relaxed geometry.

N(E_F), states/eV per atom: 0.37
SG: R3m (160)
Total magnetic moment, μB/cell: 1.492

a b c (Å): 8.6649 8.6649 8.6649
angles (deg): 20.64 20.64 20.64
With the nearest neighbours (Å) after each atom.
Sites, in units of the cell vectors:
Fe1 0.0000 0.0000 0.0000  4 P 2.22-2.35, 3 B 2.44
B1 0.2682 0.2682 0.2682  3 P 1.92
P1 0.7179 0.7179 0.7179  3 Fe 2.22, 1 Au 2.38
P2 0.9077 0.9077 0.9077  3 B 1.92
Au1 0.8113 0.8113 0.8113  2 P 2.38-2.45

Version Q
VASP calculation (GGA-PBE) on crystalline FeBP2Au at its relaxed geometry.

N(E_F), states/eV per atom: 0.57
SG: Cm (8)
Total magnetic moment, μB/cell: 0.296

a b c (Å): 3.1551 3.1551 8.7790
angles (deg): 99.69 99.69 60.07
With the nearest neighbours (Å) after each atom.
Sites, in units of the cell vectors:
Fe1 0.0000 0.0000 0.0000  4 P 2.17-2.26
B1 0.5578 0.5578 0.6816  3 P 1.88-1.89
P1 0.3774 0.3774 0.1367  3 Fe 2.17, 1 Au 2.41
P2 0.9089 0.9089 0.7373  3 B 1.88-1.89
Au1 0.4669 0.4669 0.4168  1 B 2.28, 1 P 2.41

Version R
VASP calculation (GGA-PBE) on crystalline FeBP2Au at its relaxed geometry.

N(E_F), states/eV per atom: 0.41
SG: R3m (160)
Total magnetic moment, μB/cell: 0.948

a b c (Å): 8.3169 8.3169 8.3169
angles (deg): 21.97 21.97 21.97
With the nearest neighbours (Å) after each atom.
Sites, in units of the cell vectors:
Fe1 0.0000 0.0000 0.0000  3 P 2.22, 1 B 2.23
B1 0.9083 0.9083 0.9083  3 P 1.88
P1 0.2592 0.2592 0.2592  3 B 1.88
P2 0.7183 0.7183 0.7183  3 Fe 2.22, 1 Au 2.35
Au1 0.8150 0.8150 0.8150  1 B 2.27, 1 P 2.35

The data favor version P; the next most stable structure lies 13 meV per atom above it.

Version P
VASP calculation (GGA-PBE) on crystalline GaB2Au2 at its relaxed geometry.

N(E_F), states/eV per atom: 0.53
SG: I4/mmm (139)
Total magnetic moment, μB/cell: 0.000

a b c (Å): 8.1146 8.1146 8.1146
angles (deg): 159.26 159.26 29.50
With the nearest neighbours (Å) after each atom.
Sites, in units of the cell vectors:
Ga1 0.0000 0.0000 0.0000  8 Au 2.88, 4 Ga 2.92
B1 0.2500 0.7500 0.5000  4 B 2.07
B2 0.7500 0.2500 0.5000  4 B 2.07
Au1 0.3719 0.3719 0.0000  4 B 2.41
Au2 0.6281 0.6281 0.0000  4 B 2.41

Version Q
VASP calculation (GGA-PBE) on crystalline GaB2Au2 at its relaxed geometry.

N(E_F), states/eV per atom: 0.38
SG: P4/mbm (127)
Total magnetic moment, μB/cell: 0.000

a b c (Å): 7.1656 7.1656 2.8374
angles (deg): 90.00 90.00 90.00
With the nearest neighbours (Å) after each atom.
Sites, in units of the cell vectors:
Ga1 0.0000 0.0000 0.0000  4 Au 2.75, 2 Ga 2.84, 8 B 2.99
Ga2 0.5000 0.5000 0.0000  4 Au 2.75, 2 Ga 2.84, 8 B 2.99
B1 0.1787 0.3213 0.5000  2 Au 2.29
B2 0.3213 0.8213 0.5000  2 Au 2.29
B3 0.6787 0.1787 0.5000  2 Au 2.29
B4 0.8213 0.6787 0.5000  2 Au 2.29
Au1 0.1433 0.6433 0.0000  2 B 2.29
Au2 0.3567 0.1433 0.0000  2 B 2.29
Au3 0.6433 0.8567 0.0000  2 B 2.29
Au4 0.8567 0.3567 0.0000  2 B 2.29

The data favor version P; the next most stable structure lies 433 meV per atom above it.

Version P
VASP calculation (GGA-PBE) on crystalline Ga3BAu at its relaxed geometry.

N(E_F), states/eV per atom: 0.42
SG: Pm-3m (221)
Total magnetic moment, μB/cell: 0.000

a b c (Å): 4.4065 4.4065 4.4065
angles (deg): 90.00 90.00 90.00
With the nearest neighbours (Å) after each atom.
Sites, in units of the cell vectors:
Ga1 0.0000 0.0000 0.5000  2 B 2.20
Ga2 0.0000 0.5000 0.0000  2 B 2.20
Ga3 0.5000 0.0000 0.0000  2 B 2.20
B1 0.0000 0.0000 0.0000  6 Ga 2.20
Au1 0.5000 0.5000 0.5000  12 Ga 3.12

Version Q
VASP calculation (GGA-PBE) on crystalline Ga3BAu at its relaxed geometry.

N(E_F), states/eV per atom: 0.70
SG: Pm-3m (221)
Total magnetic moment, μB/cell: 0.000

a b c (Å): 4.9434 4.9434 4.9434
angles (deg): 90.00 90.00 90.00
With the nearest neighbours (Å) after each atom.
Sites, in units of the cell vectors:
Ga1 0.0000 0.0000 0.5000  2 Au 2.47
Ga2 0.0000 0.5000 0.0000  2 Au 2.47
Ga3 0.5000 0.0000 0.0000  2 Au 2.47
B1 0.5000 0.5000 0.5000  12 Ga 3.50
Au1 0.0000 0.0000 0.0000  6 Ga 2.47

The data favor version P; the next most stable structure lies 737 meV per atom above it.

Version P
VASP calculation (GGA-PBE) on crystalline GaBAu2 at its relaxed geometry.

N(E_F), states/eV per atom: 0.44
SG: I-42d (122)
Total magnetic moment, μB/cell: 0.000

a b c (Å): 6.0940 6.0940 6.0940
angles (deg): 122.23 122.23 86.18
With the nearest neighbours (Å) after each atom.
Sites, in units of the cell vectors:
Ga1 0.0000 0.0000 0.0000  4 Au 2.64
Ga2 0.7500 0.2500 0.5000  4 Au 2.64
B1 0.2500 0.7500 0.5000  4 Au 2.13
B2 0.5000 0.5000 0.0000  4 Au 2.13
Au1 0.1946 0.6250 0.0696  2 B 2.13
Au2 0.3750 0.4446 0.5696  2 B 2.13
Au3 0.5554 0.1250 0.9304  2 B 2.13
Au4 0.8750 0.8054 0.4304  2 B 2.13

Version Q
VASP calculation (GGA-PBE) on crystalline GaBAu2 at its relaxed geometry.

N(E_F), states/eV per atom: 0.50
SG: Fm-3m (225)
Total magnetic moment, μB/cell: 0.000

a b c (Å): 4.4523 4.4523 4.4523
angles (deg): 60.00 60.00 60.00
With the nearest neighbours (Å) after each atom.
Sites, in units of the cell vectors:
Ga1 0.0000 0.0000 0.0000  8 Au 2.73
B1 0.5000 0.5000 0.5000  8 Au 2.73
Au1 0.2500 0.2500 0.2500  4 B 2.73, 4 Ga 2.73
Au2 0.7500 0.7500 0.7500  4 B 2.73, 4 Ga 2.73

The data favor version P; the next most stable structure lies 379 meV per atom above it.

Version P
VASP calculation (GGA-PBE) on crystalline GaBIr2Au at its relaxed geometry.

N(E_F), states/eV per atom: 1.12
SG: P4/mmm (123)
Total magnetic moment, μB/cell: 0.494

a b c (Å): 5.0493 5.0493 3.8703
angles (deg): 90.00 90.00 90.00
With the nearest neighbours (Å) after each atom.
Sites, in units of the cell vectors:
Ga1 0.0000 0.0000 0.0000  8 Ir 3.18
B1 0.5000 0.5000 0.0000  2 Au 1.94
Ir1 0.0000 0.5000 0.5000  2 Au 2.52
Ir2 0.5000 0.0000 0.5000  2 Au 2.52
Au1 0.5000 0.5000 0.5000  2 B 1.94

Version Q
VASP calculation (GGA-PBE) on crystalline GaBIr2Au at its relaxed geometry.

N(E_F), states/eV per atom: 1.35
SG: P4/mmm (123)
Total magnetic moment, μB/cell: 0.287

a b c (Å): 4.9759 4.9759 4.6578
angles (deg): 90.00 90.00 90.00
With the nearest neighbours (Å) after each atom.
Sites, in units of the cell vectors:
Ga1 0.0000 0.0000 0.0000  2 Au 2.33
B1 0.5000 0.5000 0.0000  8 Ir 3.41, 4 Ga 3.52
Ir1 0.0000 0.5000 0.5000  2 Au 2.49
Ir2 0.5000 0.0000 0.5000  2 Au 2.49
Au1 0.0000 0.0000 0.5000  2 Ga 2.33, 4 Ir 2.49

The data favor version P; the next most stable structure lies 708 meV per atom above it.

Version P
VASP calculation (GGA-PBE) on crystalline GaBTeRhAu at its relaxed geometry.

N(E_F), states/eV per atom: 0.46
SG: P1 (1)
Total magnetic moment, μB/cell: 0.000

a b c (Å): 3.3498 4.5431 6.4921
angles (deg): 80.01 89.72 68.49
With the nearest neighbours (Å) after each atom.
Sites, in units of the cell vectors:
Ga1 0.0000 0.0000 0.0000  1 B 2.18
B1 0.2618 0.4748 0.0601  1 Rh 2.06, 1 Ga 2.18, 2 Au 2.21-2.22
Te1 0.5946 0.8213 0.5875  3 Rh 2.67-2.73, 1 Au 2.94
Rh1 0.3246 0.3572 0.7663  1 B 2.06
Au1 0.8072 0.3797 0.2863  2 B 2.21-2.22

Version Q
VASP calculation (GGA-PBE) on crystalline GaBTeRhAu at its relaxed geometry.

N(E_F), states/eV per atom: 0.45
SG: P1 (1)
Total magnetic moment, μB/cell: 0.000

a b c (Å): 3.1969 4.2477 7.3845
angles (deg): 99.82 102.21 90.19
With the nearest neighbours (Å) after each atom.
Sites, in units of the cell vectors:
Ga1 0.0000 0.0000 0.0000  2 Rh 2.44-2.59, 2 B 2.44-2.45, 2 Au 2.62
B1 0.4862 0.4262 0.9723  2 Rh 2.00, 1 Au 2.18
Te1 0.7684 0.8894 0.5384  2 Rh 2.85-2.89, 2 Au 2.90-2.95
Rh1 0.9070 0.4641 0.8105  2 B 2.00
Au1 0.6265 0.3134 0.2558  1 B 2.18

The data favor version Q; the next most stable structure lies 58 meV per atom above it.

Version P
VASP calculation (GGA-PBE) on crystalline GaBTeRhAu at its relaxed geometry.

N(E_F), states/eV per atom: 0.40
SG: P1 (1)
Total magnetic moment, μB/cell: 0.000

a b c (Å): 3.3172 4.2824 7.0639
angles (deg): 102.52 90.25 111.95
With the nearest neighbours (Å) after each atom.
Sites, in units of the cell vectors:
Ga1 0.0000 0.0000 0.0000  1 B 2.15
B1 0.2808 0.5455 0.0133  2 Rh 2.09, 1 Ga 2.15, 1 Au 2.16
Te1 0.5292 0.0456 0.4340  3 Rh 2.81-2.91, 1 Au 2.87
Rh1 0.7841 0.5481 0.1941  2 B 2.09
Au1 0.3309 0.6525 0.7266  1 B 2.16

Version Q
VASP calculation (GGA-PBE) on crystalline GaBTeRhAu at its relaxed geometry.

N(E_F), states/eV per atom: 0.40
SG: Cm (8)
Total magnetic moment, μB/cell: 0.000

a b c (Å): 3.4953 3.4953 8.6997
angles (deg): 101.46 101.46 60.15
With the nearest neighbours (Å) after each atom.
Sites, in units of the cell vectors:
Ga1 0.0000 0.0000 0.0000  1 Rh 2.45, 3 Au 2.59
B1 0.5882 0.5882 0.7697  3 Rh 2.07-2.08
Te1 0.1562 0.1562 0.4681  3 Rh 2.88-2.89, 3 Au 3.09
Rh1 0.9018 0.9018 0.7110  3 B 2.07-2.08
Au1 0.3975 0.3975 0.1917  3 Ga 2.59

Version R
VASP calculation (GGA-PBE) on crystalline GaBTeRhAu at its relaxed geometry.

N(E_F), states/eV per atom: 0.36
SG: P3m1 (156)
Total magnetic moment, μB/cell: 0.000

a b c (Å): 3.4996 3.4996 8.4309
angles (deg): 90.00 90.00 120.00
With the nearest neighbours (Å) after each atom.
Sites, in units of the cell vectors:
Ga1 0.0000 0.0000 0.0000  1 Rh 2.45, 3 Au 2.58
B1 0.3333 0.6667 0.2298  3 Rh 2.08
Te1 0.6667 0.3333 0.5358  3 Rh 2.89, 3 Au 3.07
Rh1 0.0000 0.0000 0.2908  3 B 2.08
Au1 0.3333 0.6667 0.8099  3 Ga 2.58

The data favor version R; the next most stable structure lies 7 meV per atom above it.

Version P
VASP calculation (GGA-PBE) on crystalline GeB3Au at its relaxed geometry.

N(E_F), states/eV per atom: 0.41
SG: Pm-3m (221)
Total magnetic moment, μB/cell: 0.000

a b c (Å): 4.1605 4.1605 4.1605
angles (deg): 90.00 90.00 90.00
With the nearest neighbours (Å) after each atom.
Sites, in units of the cell vectors:
Ge1 0.0000 0.0000 0.0000  6 B 2.08
B1 0.0000 0.0000 0.5000  2 Ge 2.08
B2 0.0000 0.5000 0.0000  2 Ge 2.08
B3 0.5000 0.0000 0.0000  2 Ge 2.08
Au1 0.5000 0.5000 0.5000  12 B 2.94

Version Q
VASP calculation (GGA-PBE) on crystalline GeB3Au at its relaxed geometry.

N(E_F), states/eV per atom: 0.88
SG: Pm-3m (221)
Total magnetic moment, μB/cell: 0.000

a b c (Å): 4.2354 4.2354 4.2354
angles (deg): 90.00 90.00 90.00
With the nearest neighbours (Å) after each atom.
Sites, in units of the cell vectors:
Ge1 0.0000 0.0000 0.0000  12 B 2.99
B1 0.0000 0.5000 0.5000  2 Au 2.12
B2 0.5000 0.0000 0.5000  2 Au 2.12
B3 0.5000 0.5000 0.0000  2 Au 2.12
Au1 0.5000 0.5000 0.5000  6 B 2.12

The data favor version Q; the next most stable structure lies 46 meV per atom above it.

Version P
VASP calculation (GGA-PBE) on crystalline GeBAu2 at its relaxed geometry.

N(E_F), states/eV per atom: 0.57
SG: Fm-3m (225)
Total magnetic moment, μB/cell: 0.000

a b c (Å): 4.5100 4.5100 4.5100
angles (deg): 60.00 60.00 60.00
With the nearest neighbours (Å) after each atom.
Sites, in units of the cell vectors:
Ge1 0.0000 0.0000 0.0000  8 Au 2.76
B1 0.5000 0.5000 0.5000  8 Au 2.76
Au1 0.2500 0.2500 0.2500  4 B 2.76, 4 Ge 2.76
Au2 0.7500 0.7500 0.7500  4 B 2.76, 4 Ge 2.76

Version Q
VASP calculation (GGA-PBE) on crystalline GeBAu2 at its relaxed geometry.

N(E_F), states/eV per atom: 0.50
SG: I-42d (122)
Total magnetic moment, μB/cell: 0.000

a b c (Å): 7.1778 7.1778 7.1778
angles (deg): 139.65 139.65 58.39
With the nearest neighbours (Å) after each atom.
Sites, in units of the cell vectors:
Ge1 0.0000 0.0000 0.0000  4 Au 2.58
Ge2 0.7500 0.2500 0.5000  4 Au 2.58
B1 0.2500 0.7500 0.5000  4 Au 2.16
B2 0.5000 0.5000 0.0000  4 Au 2.16
Au1 0.2060 0.6250 0.0810  2 B 2.16
Au2 0.3750 0.4560 0.5810  2 B 2.16
Au3 0.5440 0.1250 0.9190  2 B 2.16
Au4 0.8750 0.7940 0.4190  2 B 2.16

The data favor version Q; the next most stable structure lies 403 meV per atom above it.

Version P
VASP calculation (GGA-PBE) on crystalline B2HAu2 at its relaxed geometry.

N(E_F), states/eV per atom: 0.48
SG: I4/mmm (139)
Total magnetic moment, μB/cell: 0.000

a b c (Å): 7.0201 7.0201 7.0201
angles (deg): 156.52 156.52 33.45
With the nearest neighbours (Å) after each atom.
Sites, in units of the cell vectors:
B1 0.2500 0.7500 0.5000  4 B 2.02
B2 0.7500 0.2500 0.5000  4 B 2.02
H1 0.0000 0.0000 0.0000  8 Au 2.45
Au1 0.3969 0.3969 0.0000  4 B 2.44, 4 H 2.45
Au2 0.6031 0.6031 0.0000  4 B 2.44, 4 H 2.45

Version Q
VASP calculation (GGA-PBE) on crystalline B2HAu2 at its relaxed geometry.

N(E_F), states/eV per atom: 0.14
SG: P4/mbm (127)
Total magnetic moment, μB/cell: 0.000

a b c (Å): 6.2739 6.2739 3.0258
angles (deg): 90.00 90.00 90.00
With the nearest neighbours (Å) after each atom.
Sites, in units of the cell vectors:
B1 0.0899 0.4101 0.0000  1 B 1.60
B2 0.4101 0.9101 0.0000  1 B 1.60
B3 0.5899 0.0899 0.0000  1 B 1.60
B4 0.9101 0.5899 0.0000  1 B 1.60
H1 0.0000 0.0000 0.5000  4 Au 2.22
H2 0.5000 0.5000 0.5000  4 Au 2.22
Au1 0.2381 0.7381 0.5000  2 B 2.15, 2 H 2.22
Au2 0.2619 0.2381 0.5000  2 B 2.15, 2 H 2.22
Au3 0.7381 0.7619 0.5000  2 B 2.15, 2 H 2.22
Au4 0.7619 0.2619 0.5000  2 B 2.15, 2 H 2.22

The data favor version Q; the next most stable structure lies 336 meV per atom above it.